! GGA-PBE CdPPd, relaxed; values from VASP
&SYSTEM
  ibrav = 0, nat = 6, ntyp = 3
/
ATOMIC_SPECIES
P 30.97 P.upf
Pd 106.42 Pd.upf
Cd 112.41 Cd.upf
ATOMIC_POSITIONS angstrom
P 1.574 1.064 3.510
P 0.000 2.645 3.140
Pd 0.000 0.018 5.349
Pd 1.574 3.692 1.301
Cd 0.000 1.241 0.672
Cd 1.574 2.468 5.978
CELL_PARAMETERS angstrom
3.148 0.000 0.000
0.000 4.523 -0.627
-1.574 -0.814 7.277
! calculated total energy: -4.016 eV/atom
! ΔH_f (0 K): -0.176 eV/atom



! GGA-PBE Cd2PPd, relaxed; values from VASP
&SYSTEM
  ibrav = 0, nat = 8, ntyp = 3
/
ATOMIC_SPECIES
P 30.97 P.upf
Pd 106.42 Pd.upf
Cd 112.41 Cd.upf
ATOMIC_POSITIONS angstrom
P -2.616 -0.456 -1.005
P -3.054 -5.639 -1.522
Pd 0.000 0.000 0.000
Pd -4.141 -5.024 1.027
Cd -3.001 -2.472 0.902
Cd -1.904 -3.087 -1.652
Cd -3.433 -7.654 0.388
Cd -6.052 -8.113 -0.627
CELL_PARAMETERS angstrom
-3.702 0.159 1.545
-1.529 -1.071 -3.554
-1.964 -9.751 1.515
! calculated total energy: -2.959 eV/atom
! ΔH_f (0 K): 0.150 eV/atom



! GGA-PBE Cd2PPd5, relaxed; values from VASP
&SYSTEM
  ibrav = 0, nat = 8, ntyp = 3
/
ATOMIC_SPECIES
Cd 112.41 Cd.upf
P 30.97 P.upf
Pd 106.42 Pd.upf
ATOMIC_POSITIONS angstrom
Cd 2.251 2.901 0.000
Cd 2.251 0.000 2.901
P 0.000 0.000 0.000
Pd 0.000 4.236 4.236
Pd 0.000 1.566 4.236
Pd 0.000 4.236 1.566
Pd 2.251 0.000 0.000
Pd 0.000 1.566 1.566
CELL_PARAMETERS angstrom
4.502 0.000 0.000
0.000 5.802 0.000
0.000 0.000 5.802
! calculated total energy: -4.367 eV/atom
! ΔH_f (0 K): -0.216 eV/atom



! GGA-PBE CdPPd4, relaxed; values from VASP
&SYSTEM
  ibrav = 0, nat = 12, ntyp = 3
/
ATOMIC_SPECIES
Cd 112.41 Cd.upf
P 30.97 P.upf
Pd 106.42 Pd.upf
ATOMIC_POSITIONS angstrom
Cd -1.231 2.829 1.261
Cd 0.453 3.965 6.486
P -3.025 3.376 5.322
P 2.246 3.419 2.426
Pd -1.343 4.329 4.198
Pd 0.564 2.465 3.550
Pd 0.474 6.314 4.733
Pd -1.252 0.480 3.015
Pd -1.351 1.779 5.563
Pd 0.572 5.015 2.185
Pd 1.957 2.139 0.576
Pd 0.000 0.000 0.000
CELL_PARAMETERS angstrom
-2.828 3.035 -1.658
-1.864 -0.518 8.252
3.914 4.278 1.153
! polymorph energy (0 for the lowest one): 26 meV/atom
! calculated total energy: -4.819 eV/atom
! ΔH_f (0 K): -0.303 eV/atom



! GGA-PBE CdP2Pd2, relaxed; values from VASP
&SYSTEM
  ibrav = 0, nat = 5, ntyp = 3
/
ATOMIC_SPECIES
P 30.97 P.upf
Pd 106.42 Pd.upf
Cd 112.41 Cd.upf
ATOMIC_POSITIONS angstrom
P -1.435 0.404 2.890
P -3.100 2.011 5.960
Pd -3.642 1.044 3.766
Pd -0.893 1.372 5.085
Cd 0.000 0.000 0.000
CELL_PARAMETERS angstrom
-3.983 -0.974 1.413
1.515 -0.318 4.052
-2.066 3.708 3.386
! polymorph energy (0 for the lowest one): 0 meV/atom
! calculated total energy: -4.651 eV/atom
! ΔH_f (0 K): -0.227 eV/atom



! GGA-PBE Cd3PPd3, relaxed; values from VASP
&SYSTEM
  ibrav = 0, nat = 14, ntyp = 3
/
ATOMIC_SPECIES
Cd 112.41 Cd.upf
P 30.97 P.upf
Pd 106.42 Pd.upf
ATOMIC_POSITIONS angstrom
Cd -1.034 -4.632 -2.929
Cd 1.939 -4.062 -4.088
Cd -1.685 -5.843 0.007
Cd -0.901 -1.215 -3.961
Cd -3.266 -2.377 -1.289
Cd 1.289 -5.273 -1.152
P 1.038 -8.625 -2.831
P -0.784 -1.280 -1.250
Pd -3.175 -4.548 -4.787
Pd -0.792 -7.552 -1.880
Pd 1.096 -6.624 -4.014
Pd 1.047 -2.353 -2.201
Pd -0.842 -3.281 -0.067
Pd 3.430 -5.357 0.706
CELL_PARAMETERS angstrom
-4.799 -3.131 0.444
0.632 -0.462 -5.694
4.422 -6.312 1.168
! calculated total energy: -3.682 eV/atom
! ΔH_f (0 K): -0.292 eV/atom



! GGA-PBE PmCdPPd, relaxed; values from VASP
&SYSTEM
  ibrav = 0, nat = 4, ntyp = 4
/
ATOMIC_SPECIES
P 30.97 P.upf
Cd 112.41 Cd.upf
Pd 106.42 Pd.upf
Pm 145.00 Pm.upf
ATOMIC_POSITIONS angstrom
P -5.125 -0.106 -3.075
Cd -2.562 -0.053 -1.538
Pd 0.000 0.000 0.000
Pm -7.687 -0.159 -4.613
CELL_PARAMETERS angstrom
-2.080 0.948 -4.312
-3.596 -2.855 -1.655
-4.573 1.695 -0.183
! calculated total energy: -4.592 eV/atom
! ΔH_f (0 K): -0.525 eV/atom



! GGA-PBE Pm2CdP3Pd4, relaxed; values from VASP
&SYSTEM
  ibrav = 0, nat = 10, ntyp = 4
/
ATOMIC_SPECIES
Pm 145.00 Pm.upf
Cd 112.41 Cd.upf
P 30.97 P.upf
Pd 106.42 Pd.upf
ATOMIC_POSITIONS angstrom
Pm 2.048 0.000 2.490
Pm 0.000 2.048 8.529
Cd 2.048 2.048 5.509
P 0.000 0.000 5.509
P 2.048 0.000 9.568
P 0.000 2.048 1.450
Pd 2.048 2.048 0.000
Pd 0.000 0.000 0.000
Pd 2.048 0.000 7.241
Pd 0.000 2.048 3.777
CELL_PARAMETERS angstrom
4.095 0.000 0.000
0.000 4.095 0.000
0.000 0.000 11.019
! calculated total energy: -5.576 eV/atom
! ΔH_f (0 K): -0.834 eV/atom



! GGA-PBE PmCdP2Pd5, relaxed; values from VASP
&SYSTEM
  ibrav = 0, nat = 9, ntyp = 4
/
ATOMIC_SPECIES
Pm 145.00 Pm.upf
Cd 112.41 Cd.upf
P 30.97 P.upf
Pd 106.42 Pd.upf
ATOMIC_POSITIONS angstrom
Pm -0.826 -3.543 1.083
Cd 0.000 0.000 0.000
P -0.700 -1.903 -2.742
P -1.852 -6.849 -1.230
Pd 0.920 -2.558 -1.121
Pd -2.183 -1.762 -0.882
Pd 0.081 -6.157 -0.021
Pd -3.021 -5.361 0.218
Pd -1.276 -4.376 -1.986
CELL_PARAMETERS angstrom
-3.553 -0.037 -2.830
2.652 -1.629 -3.308
-1.651 -7.086 2.166
! calculated total energy: -5.317 eV/atom
! ΔH_f (0 K): -0.600 eV/atom



! GGA-PBE PrCdP2Pd5, relaxed; values from VASP
&SYSTEM
  ibrav = 0, nat = 9, ntyp = 4
/
ATOMIC_SPECIES
Pr 140.91 Pr.upf
Cd 112.41 Cd.upf
P 30.97 P.upf
Pd 106.42 Pd.upf
ATOMIC_POSITIONS angstrom
Pr 0.000 0.000 3.813
Cd 0.000 0.000 0.000
P 2.280 2.280 1.150
P 2.280 2.280 6.476
Pd 0.000 2.280 1.851
Pd 2.280 0.000 1.851
Pd 0.000 2.280 5.774
Pd 2.280 0.000 5.774
Pd 2.280 2.280 3.813
CELL_PARAMETERS angstrom
4.560 0.000 0.000
0.000 4.560 0.000
0.000 0.000 7.626
! calculated total energy: -5.299 eV/atom
! ΔH_f (0 K): -0.580 eV/atom



! GGA-PBE Cd2PPd2Pt4, relaxed; values from VASP
&SYSTEM
  ibrav = 0, nat = 9, ntyp = 4
/
ATOMIC_SPECIES
Cd 112.41 Cd.upf
P 30.97 P.upf
Pd 106.42 Pd.upf
Pt 195.08 Pt.upf
ATOMIC_POSITIONS angstrom
Cd 2.555 -2.607 -0.411
Cd 1.686 -0.656 3.197
P 0.000 0.000 0.000
Pd 6.265 0.628 1.169
Pd 2.222 0.223 0.415
Pt 4.648 -0.484 -0.890
Pt 4.242 -1.294 1.721
Pt 3.838 1.334 2.474
Pt -0.001 -1.969 1.064
CELL_PARAMETERS angstrom
-4.246 -4.114 1.202
5.112 -1.526 -2.816
3.375 2.376 4.400
! calculated total energy: -5.017 eV/atom
! ΔH_f (0 K): -0.373 eV/atom



! GGA-PBE PuCdP2Pd5, relaxed; values from VASP
&SYSTEM
  ibrav = 0, nat = 9, ntyp = 4
/
ATOMIC_SPECIES
Pu 244.00 Pu.upf
Cd 112.41 Cd.upf
P 30.97 P.upf
Pd 106.42 Pd.upf
ATOMIC_POSITIONS angstrom
Pu 0.000 0.000 4.053
Cd 0.000 0.000 0.000
P 2.190 2.190 1.110
P 2.190 2.190 6.997
Pd 0.000 2.190 2.027
Pd 2.190 0.000 2.027
Pd 0.000 2.190 6.080
Pd 2.190 0.000 6.080
Pd 2.190 2.190 4.053
CELL_PARAMETERS angstrom
4.379 0.000 0.000
0.000 4.379 0.000
0.000 0.000 8.107
! calculated total energy: -6.243 eV/atom
! ΔH_f (0 K): -0.462 eV/atom



! GGA-PBE Rb2CdPPd, relaxed; values from VASP
&SYSTEM
  ibrav = 0, nat = 5, ntyp = 4
/
ATOMIC_SPECIES
P 30.97 P.upf
Rb 85.47 Rb.upf
Pd 106.42 Pd.upf
Cd 112.41 Cd.upf
ATOMIC_POSITIONS angstrom
P 0.000 0.000 0.000
Rb 0.000 3.329 0.000
Rb 3.329 0.000 0.000
Pd 0.000 0.000 2.222
Cd 3.329 3.329 2.222
CELL_PARAMETERS angstrom
6.657 0.000 0.000
0.000 6.657 0.000
0.000 0.000 4.445
! calculated total energy: -2.835 eV/atom
! ΔH_f (0 K): -0.145 eV/atom



! GGA-PBE CdRe2PPd, relaxed; values from VASP
&SYSTEM
  ibrav = 0, nat = 5, ntyp = 4
/
ATOMIC_SPECIES
Re 186.21 Re.upf
P 30.97 P.upf
Pd 106.42 Pd.upf
Cd 112.41 Cd.upf
ATOMIC_POSITIONS angstrom
Re 1.802 0.057 1.234
Re -1.227 -0.175 1.800
P 0.000 0.000 0.000
Pd 0.736 -2.514 2.910
Cd 0.161 -2.396 -0.124
CELL_PARAMETERS angstrom
-2.454 -0.351 3.599
0.321 -4.791 -0.248
3.605 0.114 2.468
! calculated total energy: -6.331 eV/atom
! ΔH_f (0 K): 0.951 eV/atom



! GGA-PBE CdP2PdS, relaxed; values from VASP
&SYSTEM
  ibrav = 0, nat = 5, ntyp = 4
/
ATOMIC_SPECIES
P 30.97 P.upf
S 32.06 S.upf
Pd 106.42 Pd.upf
Cd 112.41 Cd.upf
ATOMIC_POSITIONS angstrom
P 0.000 2.305 0.000
P 2.305 0.000 0.000
S 0.000 0.000 2.539
Pd 0.000 0.000 0.000
Cd 2.305 2.305 2.539
CELL_PARAMETERS angstrom
4.611 0.000 0.000
0.000 4.611 0.000
0.000 0.000 5.078
! polymorph energy (0 for the lowest one): 0 meV/atom
! calculated total energy: -3.608 eV/atom
! formation energy without anion corrections: 3.0 eV/f.u.



! GGA-PBE CdP2PdS, relaxed; values from VASP
&SYSTEM
  ibrav = 0, nat = 5, ntyp = 4
/
ATOMIC_SPECIES
P 30.97 P.upf
S 32.06 S.upf
Pd 106.42 Pd.upf
Cd 112.41 Cd.upf
ATOMIC_POSITIONS angstrom
P 0.000 2.456 0.000
P 2.456 0.000 0.000
S 0.000 0.000 2.458
Pd 2.456 2.456 2.458
Cd 0.000 0.000 0.000
CELL_PARAMETERS angstrom
4.912 0.000 0.000
0.000 4.912 0.000
0.000 0.000 4.916
! polymorph energy (0 for the lowest one): 720 meV/atom
! calculated total energy: -2.889 eV/atom
! formation energy without anion corrections: 6.6 eV/f.u.



! GGA-PBE ScCd2PPd, relaxed; values from VASP
&SYSTEM
  ibrav = 0, nat = 5, ntyp = 4
/
ATOMIC_SPECIES
Sc 44.96 Sc.upf
P 30.97 P.upf
Pd 106.42 Pd.upf
Cd 112.41 Cd.upf
ATOMIC_POSITIONS angstrom
Sc -1.419 -1.853 -0.672
P 0.000 0.000 0.000
Pd -4.006 0.354 -1.294
Cd -1.836 0.927 1.321
Cd -0.751 1.280 -1.942
CELL_PARAMETERS angstrom
-1.502 2.560 -3.885
-2.838 -3.706 -1.345
-3.672 1.854 2.642
! calculated total energy: -3.666 eV/atom
! ΔH_f (0 K): 0.087 eV/atom



! GGA-PBE CdSn2P2Pd7, relaxed; values from VASP
&SYSTEM
  ibrav = 0, nat = 12, ntyp = 4
/
ATOMIC_SPECIES
Cd 112.41 Cd.upf
Sn 118.71 Sn.upf
P 30.97 P.upf
Pd 106.42 Pd.upf
ATOMIC_POSITIONS angstrom
Cd 0.000 0.000 0.000
Sn 0.461 -6.580 2.825
Sn 0.470 -5.628 7.037
P 0.664 -8.626 7.349
P 0.267 -3.583 2.514
Pd 0.168 -2.846 -0.674
Pd 0.354 -4.394 4.703
Pd 0.577 -7.814 5.159
Pd -1.126 -4.827 1.031
Pd 1.756 -4.645 0.983
Pd -0.825 -7.563 8.879
Pd 2.057 -7.382 8.831
CELL_PARAMETERS angstrom
-2.716 -3.028 -0.627
3.053 -2.665 -0.722
0.594 -6.516 11.211
! calculated total energy: -5.015 eV/atom
! ΔH_f (0 K): -0.341 eV/atom



! GGA-PBE SrCdP2Pd5, relaxed; values from VASP
&SYSTEM
  ibrav = 0, nat = 9, ntyp = 4
/
ATOMIC_SPECIES
Sr 87.62 Sr.upf
Cd 112.41 Cd.upf
P 30.97 P.upf
Pd 106.42 Pd.upf
ATOMIC_POSITIONS angstrom
Sr 0.000 0.000 4.781
Cd 0.000 0.000 0.000
P 2.191 2.191 2.503
P 2.191 2.191 7.059
Pd 0.000 2.191 1.754
Pd 2.191 0.000 1.754
Pd 0.000 2.191 7.808
Pd 2.191 0.000 7.808
Pd 2.191 2.191 4.781
CELL_PARAMETERS angstrom
4.383 0.000 0.000
0.000 4.383 0.000
0.000 0.000 9.562
! calculated total energy: -4.899 eV/atom
! ΔH_f (0 K): -0.524 eV/atom



! GGA-PBE Sr2CdP3Pd4, relaxed; values from VASP
&SYSTEM
  ibrav = 0, nat = 10, ntyp = 4
/
ATOMIC_SPECIES
Sr 87.62 Sr.upf
Cd 112.41 Cd.upf
P 30.97 P.upf
Pd 106.42 Pd.upf
ATOMIC_POSITIONS angstrom
Sr 2.157 0.000 2.511
Sr 0.000 2.157 7.929
Cd 2.157 2.157 5.220
P 0.000 0.000 5.220
P 2.157 0.000 9.165
P 0.000 2.157 1.275
Pd 2.157 2.157 0.000
Pd 0.000 0.000 0.000
Pd 2.157 0.000 6.807
Pd 0.000 2.157 3.633
CELL_PARAMETERS angstrom
4.313 0.000 0.000
0.000 4.313 0.000
0.000 0.000 10.440
! calculated total energy: -4.827 eV/atom
! ΔH_f (0 K): -0.699 eV/atom



! GGA-PBE SrCd2PPd2, relaxed; values from VASP
&SYSTEM
  ibrav = 0, nat = 6, ntyp = 4
/
ATOMIC_SPECIES
Sr 87.62 Sr.upf
Cd 112.41 Cd.upf
P 30.97 P.upf
Pd 106.42 Pd.upf
ATOMIC_POSITIONS angstrom
Sr 1.797 -1.853 1.848
Cd 0.861 1.945 3.840
Cd -1.539 -0.115 4.110
P 0.000 0.000 0.000
Pd 0.050 0.747 6.155
Pd -0.728 1.083 1.794
CELL_PARAMETERS angstrom
-0.603 -3.913 2.117
4.198 0.207 1.578
-4.273 5.536 4.254
! calculated total energy: -3.649 eV/atom
! ΔH_f (0 K): -0.431 eV/atom



! GGA-PBE PmCd2P, relaxed; values from VASP
&SYSTEM
  ibrav = 0, nat = 4, ntyp = 3
/
ATOMIC_SPECIES
P 30.97 P.upf
Cd 112.41 Cd.upf
Pm 145.00 Pm.upf
ATOMIC_POSITIONS angstrom
P 2.677 2.079 2.079
Cd 0.000 0.000 2.079
Cd 0.000 2.079 0.000
Pm 2.677 0.000 0.000
CELL_PARAMETERS angstrom
5.354 0.000 0.000
0.000 4.158 0.000
0.000 0.000 4.158
! calculated total energy: -3.502 eV/atom
! ΔH_f (0 K): -0.505 eV/atom



! GGA-PBE Pm4Cd2P, relaxed; values from VASP
&SYSTEM
  ibrav = 0, nat = 7, ntyp = 3
/
ATOMIC_SPECIES
P 30.97 P.upf
Cd 112.41 Cd.upf
Pm 145.00 Pm.upf
ATOMIC_POSITIONS angstrom
P 0.000 0.000 0.000
Cd 2.721 2.721 1.764
Cd 0.000 0.000 5.847
Pm 2.721 2.721 4.829
Pm 0.000 0.000 2.782
Pm 0.000 2.721 0.000
Pm 2.721 0.000 0.000
CELL_PARAMETERS angstrom
5.441 0.000 0.000
0.000 5.441 0.000
-2.721 -2.721 7.611
! calculated total energy: -4.176 eV/atom
! ΔH_f (0 K): -0.428 eV/atom



! GGA-PBE Pm3CdP, relaxed; values from VASP
&SYSTEM
  ibrav = 0, nat = 5, ntyp = 3
/
ATOMIC_SPECIES
P 30.97 P.upf
Cd 112.41 Cd.upf
Pm 145.00 Pm.upf
ATOMIC_POSITIONS angstrom
P 0.000 0.000 0.000
Cd -1.428 -0.182 -4.492
Pm 1.198 -1.445 -1.974
Pm -2.439 -0.874 -0.840
Pm -0.187 2.137 -1.678
CELL_PARAMETERS angstrom
-0.374 4.274 -3.356
2.396 -2.890 -3.947
-4.878 -1.747 -1.681
! calculated total energy: -4.639 eV/atom
! ΔH_f (0 K): -0.524 eV/atom



! GGA-PBE PmCd2P2Pt7, relaxed; values from VASP
&SYSTEM
  ibrav = 0, nat = 12, ntyp = 4
/
ATOMIC_SPECIES
Pm 145.00 Pm.upf
Cd 112.41 Cd.upf
P 30.97 P.upf
Pt 195.08 Pt.upf
ATOMIC_POSITIONS angstrom
Pm 0.000 0.000 0.000
Cd -2.787 -5.560 5.292
Cd -5.754 -1.587 6.008
P -6.577 -4.459 8.183
P -1.964 -2.688 3.118
Pt 0.663 -2.667 0.725
Pt -3.572 -2.907 4.685
Pt -4.970 -4.240 6.616
Pt -1.582 -4.503 1.627
Pt 0.211 -3.520 3.605
Pt -8.753 -3.627 7.696
Pt -6.959 -2.644 9.674
CELL_PARAMETERS angstrom
-1.128 -3.648 -1.249
2.453 -1.686 2.699
-9.867 -1.813 9.851
! calculated total energy: -5.547 eV/atom
! ΔH_f (0 K): -0.573 eV/atom



| no. | total magnetization (Bohr magnetons per cell) |
| --- | --- |
| 1 | 0.00 |
| 2 | 0.00 |
| 3 | 0.00 |
| 4 | 0.00 |
| 5 | 0.00 |
| 6 | 0.00 |
| 7 | 0.00 |
| 8 | 0.00 |
| 9 | 0.00 |
| 10 | 0.00 |
| 11 | 0.00 |
| 12 | 5.27 |
| 13 | 0.00 |
| 14 | 0.00 |
| 15 | 1.18 |
| 16 | 0.00 |
| 17 | 0.00 |
| 18 | 0.00 |
| 19 | 0.00 |
| 20 | 0.00 |
| 21 | 0.00 |
| 22 | 0.00 |
| 23 | 0.00 |
| 24 | 0.00 |
| 25 | 0.00 |